Material: PrNdGa2Ni4
Method: DFT, PBE
State: optimized geometry

Calculated values
spin magnetization	0.0	μB/f.u.
raw total energy	-5.24	eV/atom

Lattice parameters (Å, degrees): 4.017 5.153 6.746 90.00 90.00 90.00
Element x y z (fractional)
1 Pr 0.000 0.000 0.000
2 Nd 0.000 0.500 0.598
3 Ga 0.500 0.000 0.625
4 Ga 0.500 0.500 0.973
5 Ni 0.000 0.000 0.421
6 Ni 0.000 0.500 0.178
7 Ni 0.500 0.250 0.299
8 Ni 0.500 0.750 0.299


Material: BeTlNiMo
Method: DFT, PBE
State: optimized geometry

Calculated values
spin magnetization	2.0	μB/f.u.
energy above the most stable polymorph in this dataset	0.000	eV/atom

Lattice parameters (Å, degrees): 4.337 4.337 4.337 60.00 60.00 60.00
Element x y z (fractional)
1 Be 0.000 0.000 0.000
2 Tl 0.250 0.250 0.250
3 Ni 0.500 0.500 0.500
4 Mo 0.750 0.750 0.750